# SrSb12Ru4 (PBE-GGA, relaxed)
data_SrSb12Ru4
_cell_length_a 9.409
_cell_length_b 9.409
_cell_length_c 9.409
_cell_angle_alpha 90.00
_cell_angle_beta 90.00
_cell_angle_gamma 90.00
_space_group_name_H-M_alt 'I m -3'
_space_group_IT_number 204
_space_group_name_Hall '-I 2 2 3'
loop_
_atom_site_label
_atom_site_type_symbol
_atom_site_fract_x
_atom_site_fract_y
_atom_site_fract_z
Sr1 Sr 0.000 0.000 0.000
Sb1 Sb 0.000 0.159 0.343
Ru1 Ru 0.250 0.250 0.250
# Total magnetic moment ... 0.0 μB/cell
# N(E_F) ... 26.988 states/eV/cell
# Formation energy without anion corrections ... -0.316 eV/atom
# V ... 833.10 Å³/cell